The following is a DFT calculation (PBE-GGA) of crystalline Sc2GaC at its relaxed geometry.

Cell and atoms, written as POSCAR:
```
Sc2GaC
1.0
-0.432 0.290 3.580
0.406 -3.315 0.318
10.580 3.092 1.026
Sc Ga C
4 2 2
Direct
0.750 0.701 0.403
0.250 0.299 0.597
0.750 0.903 0.807
0.250 0.097 0.193
0.250 0.461 0.923
0.750 0.539 0.077
0.250 0.194 0.388
0.750 0.806 0.612
```

- DFT total energy: -6.650 eV per atom
- Total magnetic moment: 0.00 μB/f.u.

***

The following is a DFT calculation (PBE-GGA) of crystalline HIrRuPt2 at its relaxed geometry.

Cell and atoms, written as POSCAR:
```
HIrRuPt2
1.0
4.834 0.000 0.000
0.000 4.657 0.000
0.000 0.000 4.834
Ru Ir Pt H
1 1 2 1
Direct
0.000 0.000 0.000
0.000 0.500 0.000
0.000 0.000 0.500
0.500 0.000 0.000
0.500 0.500 0.500
```

- DFT total energy: -4.710 eV per atom
- Total magnetic moment: 0.95 μB/f.u.

***

The following is a DFT calculation (PBE-GGA) of crystalline ZrCd2Tc at its relaxed geometry.

Cell and atoms, written as POSCAR:
```
ZrCd2Tc
1.0
5.162 0.001 0.000
1.619 4.901 0.000
-3.390 -2.451 3.023
Cd Tc Zr
2 1 1
Direct
0.000 0.000 0.000
0.250 0.750 0.500
0.500 0.500 0.000
0.750 0.250 0.500
```

- DFT total energy: -5.038 eV per atom
- Total magnetic moment: 0.00 μB/f.u.